(1)
NaLiLa2N | GGA-PBE | relaxed

Spin magnetization (μB per cell): 0.00
DOS(E_F) (states/eV/atom): 0.90
SG: P4/mmm (123)

Cell lengths 5.111, 5.111, 4.763 Å; angles 90.00, 90.00, 90.00 degrees
Sites, in units of the cell vectors:
La 0.000 0.500 0.000
La 0.500 0.000 0.000
N 0.000 0.000 0.000
Li 0.000 0.000 0.500
Na 0.500 0.500 0.500


(2)
NaLiLa2N | GGA-PBE | relaxed

Spin magnetization (μB per cell): 0.00
DOS(E_F) (states/eV/atom): 0.85
SG: P4/mmm (123)

Cell lengths 4.992, 4.992, 5.441 Å; angles 90.00, 90.00, 90.00 degrees
Sites, in units of the cell vectors:
La 0.000 0.500 0.000
La 0.500 0.000 0.000
Li 0.500 0.500 0.500
Na 0.000 0.000 0.500
N 0.000 0.000 0.000


Order from most stable to least stable according to the calculation: (2), (1)